# RbZn2InMo | Alexandria | PBE | relaxed
data_RbZn2InMo
_chemical_formula_sum 'Rb1 Zn2 In1 Mo1'
_cell_length_a 5.387
_cell_length_b 5.387
_cell_length_c 5.625
_cell_angle_alpha 90.00
_cell_angle_beta 90.00
_cell_angle_gamma 90.00
_symmetry_space_group_name_H-M 'P 4/m m m'
_symmetry_Int_Tables_number 123
_symmetry_space_group_name_Hall '-P 4 2'
loop_
_atom_site_label
_atom_site_fract_x
_atom_site_fract_y
_atom_site_fract_z
Rb1 0.000 0.000 0.000
Zn1 0.000 0.500 0.500
In1 0.500 0.500 0.500
Mo1 0.500 0.500 0.000
# **Energy relative to the elements**: 0.9697 eV/atom
# **Fermi-level density of states**: 3.5 states/eV per cell
# **Volume**: 163.3 Å³/cell
# **Spin magnetization**: 4.23 μB/f.u.

=====

# GaS2 | Alexandria | PBE | relaxed
data_GaS2
_chemical_formula_sum 'Ga4 S8'
_cell_length_a 3.500
_cell_length_b 10.363
_cell_length_c 6.179
_cell_angle_alpha 90.00
_cell_angle_beta 90.00
_cell_angle_gamma 90.00
_symmetry_space_group_name_H-M 'F m m 2'
_symmetry_Int_Tables_number 42
_symmetry_space_group_name_Hall 'F 2 -2'
loop_
_atom_site_label
_atom_site_fract_x
_atom_site_fract_y
_atom_site_fract_z
Ga1 0.000 0.000 0.000
S1 0.000 0.139 0.666
# **Fermi-level density of states**: 6.5 states/eV per cell
# **Volume**: 224.1 Å³/cell
# **Formation energy without anion corrections**: -1.94 kcal/mol of atoms
# **Spin magnetization**: 0.00 μB/f.u.

=====

# LiTiCoSi | Alexandria | PBE | relaxed
data_LiTiCoSi
_chemical_formula_sum 'Li4 Ti4 Co4 Si4'
_cell_length_a 5.742
_cell_length_b 5.742
_cell_length_c 5.742
_cell_angle_alpha 90.00
_cell_angle_beta 90.00
_cell_angle_gamma 90.00
_symmetry_space_group_name_H-M 'F -4 3 m'
_symmetry_Int_Tables_number 216
_symmetry_space_group_name_Hall 'F -4 2 3'
loop_
_atom_site_label
_atom_site_fract_x
_atom_site_fract_y
_atom_site_fract_z
Li1 0.000 0.000 0.000
Ti1 0.250 0.250 0.750
Co1 0.000 0.000 0.500
Si1 0.250 0.250 0.250
# **Volume**: 189.3 Å³/cell
# **Formation energy without anion corrections**: -14.25 kcal/mol of atoms
# **Spin magnetization**: 0.00 μB/f.u.

=====

# Th2AlAg | Alexandria | PBE | relaxed
data_Th2AlAg
_chemical_formula_sum 'Th2 Al1 Ag1'
_cell_length_a 3.382
_cell_length_b 3.382
_cell_length_c 8.867
_cell_angle_alpha 90.00
_cell_angle_beta 90.00
_cell_angle_gamma 90.00
_symmetry_space_group_name_H-M 'P 4/m m m'
_symmetry_Int_Tables_number 123
_symmetry_space_group_name_Hall '-P 4 2'
loop_
_atom_site_label
_atom_site_fract_x
_atom_site_fract_y
_atom_site_fract_z
Th1 0.000 0.000 0.246
Al1 0.500 0.500 0.000
Ag1 0.500 0.500 0.500
# **Energy relative to the elements**: -0.1688 eV/atom
# **Fermi-level density of states**: 3.6 states/eV per cell
# **Volume**: 101.4 Å³/cell
# **Spin magnetization**: 0.00 μB/f.u.

=====

# Er3Zn | Alexandria | PBE | relaxed
data_Er3Zn
_chemical_formula_sum 'Er12 Zn4'
_cell_length_a 7.460
_cell_length_b 7.460
_cell_length_c 7.460
_cell_angle_alpha 90.00
_cell_angle_beta 90.00
_cell_angle_gamma 90.00
_symmetry_space_group_name_H-M 'F m -3 m'
_symmetry_Int_Tables_number 225
_symmetry_space_group_name_Hall '-F 4 2 3'
loop_
_atom_site_label
_atom_site_fract_x
_atom_site_fract_y
_atom_site_fract_z
Er1 0.000 0.000 0.000
Er2 0.250 0.250 0.250
Zn1 0.000 0.000 0.500
# **Energy relative to the elements**: 0.0526 eV/atom
# **Fermi-level density of states**: 18.1 states/eV per cell
# **Volume**: 415.2 Å³/cell
# **Spin magnetization**: 0.00 μB/f.u.

=====

# Hf6Co16Ge7 | Alexandria | PBE | relaxed
data_Hf6Co16Ge7
_chemical_formula_sum 'Hf24 Co64 Ge28'
_cell_length_a 11.516
_cell_length_b 11.516
_cell_length_c 11.516
_cell_angle_alpha 90.00
_cell_angle_beta 90.00
_cell_angle_gamma 90.00
_symmetry_space_group_name_H-M 'F m -3 m'
_symmetry_Int_Tables_number 225
_symmetry_space_group_name_Hall '-F 4 2 3'
loop_
_atom_site_label
_atom_site_fract_x
_atom_site_fract_y
_atom_site_fract_z
Hf1 0.000 0.000 0.204
Co1 0.120 0.120 0.380
Co2 0.170 0.170 0.170
Ge1 0.000 0.000 0.500
Ge2 0.000 0.250 0.250
# **Energy relative to the elements**: -0.4760 eV/atom
# **Fermi-level density of states**: 135.2 states/eV per cell
# **Volume**: 1527.4 Å³/cell
# **Spin magnetization**: 0.03 μB/f.u.

=====

# TbThCu | Alexandria | PBE | relaxed
data_TbThCu
_chemical_formula_sum 'Tb2 Th2 Cu2'
_cell_length_a 3.537
_cell_length_b 3.537
_cell_length_c 12.265
_cell_angle_alpha 90.00
_cell_angle_beta 90.00
_cell_angle_gamma 90.00
_symmetry_space_group_name_H-M 'I 4 m m'
_symmetry_Int_Tables_number 107
_symmetry_space_group_name_Hall 'I 4 -2'
loop_
_atom_site_label
_atom_site_fract_x
_atom_site_fract_y
_atom_site_fract_z
Tb1 0.000 0.000 0.000
Th1 0.000 0.000 0.291
Cu1 0.000 0.000 0.641
# **Energy relative to the elements**: -0.0581 eV/atom
# **Fermi-level density of states**: 8.5 states/eV per cell
# **Volume**: 153.5 Å³/cell
# **Spin magnetization**: 0.00 μB/f.u.

=====

# Rb2SbHPb | Alexandria | PBE | relaxed
data_Rb2SbHPb
_chemical_formula_sum 'Rb4 Sb2 H2 Pb2'
_cell_length_a 9.956
_cell_length_b 4.440
_cell_length_c 9.970
_cell_angle_alpha 90.00
_cell_angle_beta 112.38
_cell_angle_gamma 90.00
_symmetry_space_group_name_H-M 'P 1 21/m 1'
_symmetry_Int_Tables_number 11
_symmetry_space_group_name_Hall '-P 2yb'
loop_
_atom_site_label
_atom_site_fract_x
_atom_site_fract_y
_atom_site_fract_z
Rb1 0.146 0.250 0.184
Rb2 0.267 0.750 0.861
Sb1 0.484 0.750 0.272
H1 0.078 0.250 0.875
Pb1 0.359 0.750 0.522
# **Energy**: -28.37 eV for the cell shown
# **Volume**: 407.5 Å³/cell
# **Spin magnetization**: 0.00 μB/f.u.

=====

# RbLi3Al | Alexandria | PBE | relaxed
data_RbLi3Al
_chemical_formula_sum 'Rb1 Li3 Al1'
_cell_length_a 5.268
_cell_length_b 5.268
_cell_length_c 5.268
_cell_angle_alpha 90.00
_cell_angle_beta 90.00
_cell_angle_gamma 90.00
_symmetry_space_group_name_H-M 'P m -3 m'
_symmetry_Int_Tables_number 221
_symmetry_space_group_name_Hall '-P 4 2 3'
loop_
_atom_site_label
_atom_site_fract_x
_atom_site_fract_y
_atom_site_fract_z
Rb1 0.000 0.000 0.000
Li1 0.000 0.000 0.500
Al1 0.500 0.500 0.500
# **Energy relative to the elements**: 0.9325 eV/atom
# **Fermi-level density of states**: 3.2 states/eV per cell
# **Volume**: 146.2 Å³/cell
# **Spin magnetization**: 0.00 μB/f.u.

=====

# La12PmNi6 | Alexandria | PBE | relaxed
data_La12PmNi6
_chemical_formula_sum 'La24 Pm2 Ni12'
_cell_length_a 10.312
_cell_length_b 10.312
_cell_length_c 10.312
_cell_angle_alpha 90.00
_cell_angle_beta 90.00
_cell_angle_gamma 90.00
_symmetry_space_group_name_H-M 'I m -3'
_symmetry_Int_Tables_number 204
_symmetry_space_group_name_Hall '-I 2 2 3'
loop_
_atom_site_label
_atom_site_fract_x
_atom_site_fract_y
_atom_site_fract_z
La1 0.000 0.185 0.313
Pm1 0.000 0.000 0.000
Ni1 0.000 0.377 0.500
# **Energy relative to the elements**: -0.2111 eV/atom
# **Fermi-level density of states**: 46.8 states/eV per cell
# **Volume**: 1096.4 Å³/cell
# **Spin magnetization**: 0.00 μB/f.u.

=====

# Dy14ErMg | Alexandria | PBE | relaxed
data_Dy14ErMg
_chemical_formula_sum 'Dy28 Er2 Mg2'
_cell_length_a 9.967
_cell_length_b 9.959
_cell_length_c 9.959
_cell_angle_alpha 90.00
_cell_angle_beta 90.00
_cell_angle_gamma 90.00
_symmetry_space_group_name_H-M 'A m m 2'
_symmetry_Int_Tables_number 38
_symmetry_space_group_name_Hall 'A 2 -2'
loop_
_atom_site_label
_atom_site_fract_x
_atom_site_fract_y
_atom_site_fract_z
Dy1 0.000 0.000 0.000
Dy2 0.000 0.000 0.500
Dy3 0.000 0.250 0.250
Dy4 0.251 0.000 0.249
Dy5 0.251 0.000 0.751
Dy6 0.251 0.249 0.000
Dy7 0.500 0.250 0.250
Er1 0.500 0.000 0.000
Mg1 0.500 0.000 0.499
# **Energy relative to the elements**: 0.0199 eV/atom
# **Fermi-level density of states**: 41.9 states/eV per cell
# **Volume**: 988.6 Å³/cell
# **Spin magnetization**: 0.00 μB/f.u.

=====

# InIrW2 | Alexandria | PBE | relaxed
data_InIrW2
_chemical_formula_sum 'In3 Ir3 W6'
_cell_length_a 2.8689
_cell_length_b 2.8689
_cell_length_c 28.2555
_cell_angle_alpha 90.00
_cell_angle_beta 90.00
_cell_angle_gamma 120.00
_symmetry_space_group_name_H-M 'R -3 m'
_symmetry_Int_Tables_number 166
_symmetry_space_group_name_Hall '-R 3 2"'
loop_
_atom_site_label
_atom_site_fract_x
_atom_site_fract_y
_atom_site_fract_z
In1 0.0000 0.0000 0.0000
Ir1 0.0000 0.0000 0.5000
W1 0.0000 0.0000 0.2447
# **Energy relative to the elements**: 0.3075 eV/atom
# **Fermi-level density of states**: 9.2 states/eV per cell
# **Volume**: 201.4 Å³/cell
# **Spin magnetization**: 0.00 μB/f.u.

=====

- What is the volume in the fourth record?
  101.4 Å³/cell

=====

- Which formula does entry 1 have?
  RbZn2InMo

=====

- What is the volume in the fourth record?
  101.4 Å³/cell